The following is a DFT calculation (PBE) of crystalline Gd2Ge2Pd at its relaxed geometry.

Cell and atoms, written as CIF:
```
data_Gd2Ge2Pd
_cell_length_a 5.7724
_cell_length_b 5.7724
_cell_length_c 10.4168
_cell_angle_alpha 115.38
_cell_angle_beta 115.38
_cell_angle_gamma 44.54
_space_group_name_H-M_alt 'P 1'
_space_group_IT_number 1
loop_
_space_group_symop_operation_xyz
'x,y,z'
loop_
_atom_site_label
_atom_site_type_symbol
_atom_site_fract_x
_atom_site_fract_y
_atom_site_fract_z
Gd1 Gd 0.0049 0.0049 0.3281
Gd2 Gd 0.1844 0.1844 0.1091
Gd3 Gd 0.8156 0.8156 0.8909
Gd4 Gd 0.9951 0.9951 0.6719
Ge1 Ge 0.3610 0.3610 0.4353
Ge2 Ge 0.4749 0.4749 0.1155
Ge3 Ge 0.5251 0.5251 0.8845
Ge4 Ge 0.6390 0.6390 0.5647
Pd1 Pd 0.2775 0.2775 0.6489
Pd2 Pd 0.7225 0.7225 0.3511
```

Its size of the total moment is 0.674 Bohr magnetons per cell. The value obtained for the raw total energy is -28.37 eV/f.u.

The following is a DFT calculation (PBE) of crystalline CsUBi at its relaxed geometry.

Cell and atoms, written as CIF:
```
data_CsUBi
_cell_length_a 5.5976
_cell_length_b 5.5976
_cell_length_c 5.5976
_cell_angle_alpha 60.00
_cell_angle_beta 60.00
_cell_angle_gamma 60.00
_space_group_name_H-M_alt 'P 1'
_space_group_IT_number 1
loop_
_space_group_symop_operation_xyz
'x,y,z'
loop_
_atom_site_label
_atom_site_type_symbol
_atom_site_fract_x
_atom_site_fract_y
_atom_site_fract_z
Cs1 Cs 0.0000 0.0000 0.0000
U1 U 0.2500 0.2500 0.2500
Bi1 Bi 0.5000 0.5000 0.5000
```

Its size of the total moment is 3.964 Bohr magnetons per cell. The value obtained for the raw total energy is -13.47 eV/f.u.

The following is a DFT calculation (PBE) of crystalline SmPuSn at its relaxed geometry.

Cell and atoms, written as CIF:
```
data_SmPuSn
_cell_length_a 5.1839
_cell_length_b 5.1839
_cell_length_c 5.1839
_cell_angle_alpha 60.00
_cell_angle_beta 60.00
_cell_angle_gamma 60.00
_space_group_name_H-M_alt 'P 1'
_space_group_IT_number 1
loop_
_space_group_symop_operation_xyz
'x,y,z'
loop_
_atom_site_label
_atom_site_type_symbol
_atom_site_fract_x
_atom_site_fract_y
_atom_site_fract_z
Sm1 Sm 0.0000 0.0000 0.0000
Pu1 Pu 0.7500 0.7500 0.7500
Sn1 Sn 0.2500 0.2500 0.2500
```

Its size of the total moment is 6.881 Bohr magnetons per cell. The value obtained for the raw total energy is -22.57 eV/f.u. The value obtained for the energy above the most stable polymorph in this dataset is 0.00 eV per formula unit.

The following is a DFT calculation (PBE) of crystalline Er2Lu5Ni2Te2 at its relaxed geometry.

Cell and atoms, written as CIF:
```
data_Er2Lu5Ni2Te2
_cell_length_a 9.1752
_cell_length_b 9.1752
_cell_length_c 9.1752
_cell_angle_alpha 156.05
_cell_angle_beta 67.30
_cell_angle_gamma 118.16
_space_group_name_H-M_alt 'P 1'
_space_group_IT_number 1
loop_
_space_group_symop_operation_xyz
'x,y,z'
loop_
_atom_site_label
_atom_site_type_symbol
_atom_site_fract_x
_atom_site_fract_y
_atom_site_fract_z
Er1 Er 0.1465 0.0000 0.1465
Er2 Er 0.8535 0.0000 0.8535
Lu1 Lu 0.1671 0.3522 0.8149
Lu2 Lu 0.2287 0.7287 0.5000
Lu3 Lu 0.5117 0.1467 0.3650
Lu4 Lu 0.5374 0.3522 0.1851
Lu5 Lu 0.7818 0.1467 0.6350
Ni1 Ni 0.3970 0.6602 0.7368
Ni2 Ni 0.9234 0.6602 0.2632
Te1 Te 0.4958 0.4958 0.0000
Te2 Te 0.8894 0.3894 0.5000
```

Its size of the total moment is 0.002 Bohr magnetons per cell. The value obtained for the raw total energy is -56.61 eV/f.u. The value obtained for the energy above the most stable polymorph in this dataset is 0.00 eV per formula unit.

The following is a DFT calculation (PBE) of crystalline Sc4InCuN2 at its relaxed geometry.

Cell and atoms, written as CIF:
```
data_Sc4InCuN2
_cell_length_a 3.2347
_cell_length_b 3.2347
_cell_length_c 14.1723
_cell_angle_alpha 90.00
_cell_angle_beta 90.00
_cell_angle_gamma 120.00
_space_group_name_H-M_alt 'P 1'
_space_group_IT_number 1
loop_
_space_group_symop_operation_xyz
'x,y,z'
loop_
_atom_site_label
_atom_site_type_symbol
_atom_site_fract_x
_atom_site_fract_y
_atom_site_fract_z
Sc1 Sc 0.0000 0.0000 0.1457
Sc2 Sc 0.0000 0.0000 0.8543
Sc3 Sc 0.6667 0.3333 0.3200
Sc4 Sc 0.6667 0.3333 0.6800
In1 In 0.0000 0.0000 0.5000
Cu1 Cu 0.6667 0.3333 0.0000
N1 N 0.3333 0.6667 0.2394
N2 N 0.3333 0.6667 0.7606
```

Its size of the total moment is 0.006 Bohr magnetons per cell. The value obtained for the raw total energy is -56.84 eV/f.u.

The following is a DFT calculation (PBE) of crystalline NaSrHoSe3 at its relaxed geometry.

Cell and atoms, written as CIF:
```
data_NaSrHoSe3
_cell_length_a 9.1347
_cell_length_b 9.1347
_cell_length_c 9.0587
_cell_angle_alpha 104.53
_cell_angle_beta 104.53
_cell_angle_gamma 26.27
_space_group_name_H-M_alt 'P 1'
_space_group_IT_number 1
loop_
_space_group_symop_operation_xyz
'x,y,z'
loop_
_atom_site_label
_atom_site_type_symbol
_atom_site_fract_x
_atom_site_fract_y
_atom_site_fract_z
Na1 Na 0.0048 0.0048 0.2037
Na2 Na 0.9952 0.9952 0.7963
Sr1 Sr 0.3647 0.3647 0.4338
Sr2 Sr 0.6353 0.6353 0.5662
Ho1 Ho 0.3337 0.3337 0.9133
Ho2 Ho 0.6663 0.6663 0.0867
Se1 Se 0.0000 0.0000 0.5000
Se2 Se 0.1690 0.1690 0.8623
Se3 Se 0.1791 0.1791 0.3125
Se4 Se 0.5000 0.5000 0.0000
Se5 Se 0.8209 0.8209 0.6875
Se6 Se 0.8310 0.8310 0.1377
```

Its size of the total moment is 0.007 Bohr magnetons per cell. The value obtained for the raw total energy is -28.56 eV/f.u. The value obtained for the energy above the most stable polymorph in this dataset is 0.00 eV per formula unit.

The following is a DFT calculation (PBE) of crystalline Ta11Re5 at its relaxed geometry.

Cell and atoms, written as CIF:
```
data_Ta11Re5
_cell_length_a 6.4676
_cell_length_b 6.4676
_cell_length_c 6.4676
_cell_angle_alpha 90.00
_cell_angle_beta 90.00
_cell_angle_gamma 90.00
_space_group_name_H-M_alt 'P 1'
_space_group_IT_number 1
loop_
_space_group_symop_operation_xyz
'x,y,z'
loop_
_atom_site_label
_atom_site_type_symbol
_atom_site_fract_x
_atom_site_fract_y
_atom_site_fract_z
Ta1 Ta 0.0000 0.0000 0.5000
Ta2 Ta 0.0000 0.5000 0.0000
Ta3 Ta 0.2518 0.2518 0.2518
Ta4 Ta 0.2518 0.2518 0.7482
Ta5 Ta 0.2518 0.7482 0.2518
Ta6 Ta 0.2518 0.7482 0.7482
Ta7 Ta 0.5000 0.0000 0.0000
Ta8 Ta 0.7482 0.2518 0.2518
Ta9 Ta 0.7482 0.2518 0.7482
Ta10 Ta 0.7482 0.7482 0.2518
Ta11 Ta 0.7482 0.7482 0.7482
Re1 Re 0.0000 0.0000 0.0000
Re2 Re 0.0000 0.5000 0.5000
Re3 Re 0.5000 0.0000 0.5000
Re4 Re 0.5000 0.5000 0.0000
Re5 Re 0.5000 0.5000 0.5000
```

Its size of the total moment is 0.004 Bohr magnetons per cell. The value obtained for the raw total energy is -196.93 eV/f.u.

The following is a DFT calculation (PBE) of crystalline ScMo2Pb at its relaxed geometry.

Cell and atoms, written as CIF:
```
data_ScMo2Pb
_cell_length_a 4.7135
_cell_length_b 4.7135
_cell_length_c 4.7135
_cell_angle_alpha 60.00
_cell_angle_beta 60.00
_cell_angle_gamma 60.00
_space_group_name_H-M_alt 'P 1'
_space_group_IT_number 1
loop_
_space_group_symop_operation_xyz
'x,y,z'
loop_
_atom_site_label
_atom_site_type_symbol
_atom_site_fract_x
_atom_site_fract_y
_atom_site_fract_z
Sc1 Sc 0.0000 0.0000 0.0000
Mo1 Mo 0.2500 0.2500 0.2500
Mo2 Mo 0.5000 0.5000 0.5000
Pb1 Pb 0.7500 0.7500 0.7500
```

Its size of the total moment is 0.001 Bohr magnetons per cell. The value obtained for the raw total energy is -30.77 eV/f.u.